{"formula": "K3Ba3IO8", "functional": "PBE-GGA", "state": "optimized geometry", "cell": [[-1.7680, -0.7432, -7.4715], [-0.0980, -6.1766, 4.6196], [-5.4100, 5.4555, 0.7373]], "species": ["K", "K", "K", "Ba", "Ba", "Ba", "I", "O", "O", "O", "O", "O", "O", "O", "O"], "fractional_positions": [[0.0000, 0.0000, 0.0000], [0.0000, 0.5000, 0.0000], [0.5000, 0.5000, 0.0000], [0.5000, 0.0000, 0.5000], [0.5000, 0.5000, 0.5000], [0.0000, 0.5000, 0.5000], [0.0000, 0.0000, 0.5000], [0.2631, 0.5261, 0.2892], [0.7369, 0.4739, 0.7108], [0.8222, 0.6444, 0.3252], [0.1778, 0.3556, 0.6748], [0.8222, 0.0028, 0.3251], [0.1778, 0.9972, 0.6749], [0.1806, 0.0028, 0.3251], [0.8194, 0.9972, 0.6749]], "crystal_system": "trigonal", "vol_a3_per_fu": 324.8, "raw_formation_energy_ev_per_atom": -1.668}